FeCo2Tc after structural relaxation. Source: Alexandria via LeMat-Bulk, functional PBE.

DFT formation energy, eV/f.u.: 0.88
Symmetry: Fm-3m (225)
Total magnetization, μB per cell: 5.37
Density of states at the Fermi level, states/eV/atom: 2.007

Geometry as POSCAR:
```
FeCo2Tc
1.0
0.000 2.895 2.895
2.895 0.000 2.895
2.895 2.895 0.000
Co Tc Fe
2 1 1
Direct
0.250 0.250 0.250 Co
0.750 0.750 0.750 Co
0.500 0.500 0.500 Tc
0.000 0.000 0.000 Fe
```